A geometry-optimized CeAsN2 structure. Source: the Alexandria database, functional GGA-PBE.

POSCAR file:
```
CeAsN2
1.0
3.668 0.000 0.000
1.834 3.177 0.000
1.834 1.059 6.128
As N Ce
1 2 1
Cartesian
0.000 0.000 0.000
5.502 3.177 1.976
1.834 1.059 4.152
3.668 2.118 3.064
```

Its calculated density is 5652 kg/m³. As for the total magnetization: 0.00 μB/f.u. The calculation puts the total energy at -7.149 eV/atom. As for the density of states at the Fermi level: 3.19 states/eV per cell. As for the space group: R-3m, No. 166.

=====

A geometry-optimized Ce5As5N2 structure. Source: the Alexandria database, functional GGA-PBE.

POSCAR file:
```
Ce5As5N2
1.0
-3.535 -1.715 -0.808
4.997 -4.337 -2.700
-0.852 -2.813 9.703
N As Ce
2 5 5
Cartesian
0.950 -6.046 -1.281
-0.340 -2.819 7.477
1.443 -6.027 6.485
-0.437 -4.503 1.517
-0.833 -2.838 -0.289
-2.193 -2.264 4.448
1.048 -4.362 4.678
0.000 0.000 0.000
0.306 -2.004 2.917
-1.475 -4.640 6.348
0.304 -6.861 3.278
2.085 -4.226 -0.152
```

Its calculated density is 6806 kg/m³. As for the total magnetization: 2.00 μB/f.u. The calculation puts the total energy at -7.035 eV/atom. As for the density of states at the Fermi level: 16.54 states/eV per cell. As for the space group: C2/m, No. 12.

=====

A geometry-optimized CeAsN structure. Source: the Alexandria database, functional GGA-PBE.

POSCAR file:
```
CeAsN
1.0
3.926 0.000 0.000
0.000 4.063 0.098
0.000 0.185 7.453
N Ce As
2 2 2
Cartesian
2.945 3.139 3.846
0.981 1.109 3.705
2.945 1.093 4.861
0.981 3.155 2.691
2.944 1.319 0.448
0.982 2.929 7.103
```

As for the distance to the lowest polymorph of the same formula: 11 kJ/mol of formula units. Its calculated density is 6402 kg/m³. As for the total magnetization: 0.00 μB/f.u. The calculation puts the total energy at -7.453 eV/atom. As for the space group: P2_1/m, No. 11.

=====

A geometry-optimized Ce3As3N structure. Source: the Alexandria database, functional GGA-PBE.

POSCAR file:
```
Ce3As3N
1.0
7.134 0.225 0.035
-2.977 6.487 0.035
-0.580 -0.936 7.168
Ce As N
6 6 2
Cartesian
0.019 0.030 5.845
2.660 0.704 1.966
4.132 3.081 5.272
3.558 5.745 1.394
0.918 5.072 5.272
-0.555 2.695 1.966
1.355 2.188 4.473
5.164 0.797 3.619
-1.587 4.979 3.619
4.608 1.789 0.035
-0.451 4.922 0.035
2.222 3.587 2.766
2.976 4.805 6.203
0.601 0.971 1.035
```

Its calculated density is 6497 kg/m³. As for the total magnetization: 1.20 μB/f.u. The calculation puts the total energy at -6.993 eV/atom. As for the density of states at the Fermi level: 21.63 states/eV per cell. As for the space group: C2/m, No. 12.

=====

> Look up the calculated density of the first one.

5652 kg/m³

=====

> calculated density of number 2 (Ce5As5N2)?

6806 kg/m³

=====

> Which of these has the lowest calculated density?

CeAsN2